# 1
The following is a GGA-PBE calculation of an optimized crystal structure of CsCu4Se3, from Alexandria.

The structure in extended XYZ format:
```
8
Lattice="4.1139 0.0000 0.0000 0.0000 4.1139 0.0000 0.0000 0.0000 10.2312" Properties=species:S:1:pos:R:3 pbc="T T T"
Cs 0.0000 0.0000 0.0000
Cu 0.0000 2.0570 3.5766
Cu 0.0000 2.0570 6.6546
Cu 2.0570 0.0000 3.5766
Cu 2.0570 0.0000 6.6546
Se 0.0000 0.0000 5.1156
Se 2.0570 2.0570 2.2712
Se 2.0570 2.0570 7.9600
```

Properties
Space group = P4/mmm
Calculated total energy = -3.83 eV/atom
Formation energy without anion corrections = -368 meV/atom


# 2
The following is a GGA-PBE calculation of an optimized crystal structure of LiV, from Alexandria.

The structure in extended XYZ format:
```
8
Lattice="-4.2244 4.2244 4.2244 4.2244 -4.2244 4.2244 4.2244 4.2244 -4.2244" Properties=species:S:1:pos:R:3 pbc="T T T"
Li 2.4850 2.4850 -2.4850
Li 2.4850 -2.4850 2.4850
Li 1.7394 1.7394 1.7394
Li -2.4850 2.4850 2.4850
V 0.7960 0.7960 -0.7960
V 0.7960 -0.7960 0.7960
V -0.7960 0.7960 0.7960
V 3.4284 3.4284 3.4284
```

Properties
Space group = I-43m
E above lowest polymorph = 1006.4 meV per atom
Calculated total energy = -4.15 eV/atom


# 3
The following is a GGA-PBE calculation of an optimized crystal structure of ErGa2CoRu, from Alexandria.

The structure in extended XYZ format:
```
5
Lattice="-2.1133 2.1133 4.7993 2.1133 -2.1133 4.7993 2.1133 2.1133 -4.7993" Properties=species:S:1:pos:R:3 pbc="T T T"
Er 0.0000 0.0000 0.0000
Ga 0.0000 0.0000 3.5399
Ga 0.0000 0.0000 6.0587
Co 0.0000 2.1133 2.3996
Ru 2.1133 0.0000 2.3996
```

Properties
Space group = I-4m2
Calculated total energy = -5.79 eV/atom


# 4
The following is a GGA-PBE calculation of an optimized crystal structure of Ac2GeP3Rh4, from Alexandria.

The structure in extended XYZ format:
```
10
Lattice="4.2763 0.0000 0.0000 0.0000 4.2763 0.0000 0.0000 0.0000 10.0297" Properties=species:S:1:pos:R:3 pbc="T T T"
Ac 0.0000 2.1382 2.4794
Ac 2.1382 0.0000 7.5503
Ge 2.1382 2.1382 0.0000
P 0.0000 0.0000 0.0000
P 0.0000 2.1382 6.3234
P 2.1382 0.0000 3.7064
Rh 0.0000 0.0000 5.0149
Rh 0.0000 2.1382 8.7688
Rh 2.1382 0.0000 1.2609
Rh 2.1382 2.1382 5.0149
```

Properties
Space group = P-4m2
Calculated total energy = -6.82 eV/atom


# 5
The following is a GGA-PBE calculation of an optimized crystal structure of MgZr2Rh, from Alexandria.

The structure in extended XYZ format:
```
4
Lattice="-2.0365 2.0365 4.6675 2.0365 -2.0365 4.6675 2.0365 2.0365 -4.6675" Properties=species:S:1:pos:R:3 pbc="T T T"
Mg 0.0000 0.0000 0.0000
Zr 0.0000 0.0000 4.6675
Zr 0.0000 2.0365 2.3337
Rh 2.0365 0.0000 2.3337
```

Properties
Space group = I-4m2
E above lowest polymorph = 192.5 meV per atom
Calculated total energy = -6.72 eV/atom


# 6
The following is a GGA-PBE calculation of an optimized crystal structure of PrSm2Sn, from Alexandria.

The structure in extended XYZ format:
```
4
Lattice="1.8287 1.0558 11.1590 -1.8287 1.0558 11.1590 0.0000 -2.1116 11.1590" Properties=species:S:1:pos:R:3 pbc="T T T"
Pr 0.0000 0.0000 0.0000
Sm 0.0000 0.0000 8.1435
Sm 0.0000 0.0000 14.1704
Sn 0.0000 0.0000 27.9074
```

Properties
Space group = R3m
E above lowest polymorph = 235.3 meV per atom
Calculated total energy = -4.76 eV/atom


# 7
The following is a GGA-PBE calculation of an optimized crystal structure of Sr3SnHg4, from Alexandria.

The structure in extended XYZ format:
```
8
Lattice="-2.2996 3.9232 7.5055 2.2996 -3.9232 7.5055 2.2996 3.9232 -7.5055" Properties=species:S:1:pos:R:3 pbc="T T T"
Sr 0.0000 0.0000 0.0000
Sr 2.2996 0.0000 4.9466
Sr 0.0000 3.9232 2.5589
Sn 0.0000 0.0000 7.5055
Hg 2.2996 1.5320 -2.0489
Hg 2.2996 1.5320 2.0489
Hg 0.0000 2.3912 5.4566
Hg 0.0000 2.3912 9.5544
```

Properties
Space group = Immm
Calculated total energy = -1.69 eV/atom


# 8
The following is a GGA-PBE calculation of an optimized crystal structure of CdCo2I, from Alexandria.

The structure in extended XYZ format:
```
4
Lattice="0.0000 3.2425 3.2425 3.2425 0.0000 3.2425 3.2425 3.2425 0.0000" Properties=species:S:1:pos:R:3 pbc="T T T"
Cd 0.0000 0.0000 0.0000
Co 1.6212 1.6212 1.6212
Co 4.8637 4.8637 4.8637
I 3.2425 3.2425 3.2425
```

Properties
Space group = Fm-3m
E above lowest polymorph = 0.0 meV per atom
Calculated total energy = -3.38 eV/atom
Formation energy without anion corrections = 788 meV/atom


# 9
The following is a GGA-PBE calculation of an optimized crystal structure of Cd2IrSe, from Alexandria.

The structure in extended XYZ format:
```
4
Lattice="4.5432 0.0000 0.0000 0.0000 3.0505 0.0000 -2.2508 0.0000 6.1928" Properties=species:S:1:pos:R:3 pbc="T T T"
Cd 0.0000 0.0000 0.0000
Cd 0.0022 1.5253 4.0549
Ir 2.2731 0.0000 3.4536
Se 2.2764 1.5253 1.5164
```

Properties
Space group = Pm
Calculated total energy = -3.57 eV/atom
Formation energy without anion corrections = -23 meV/atom


# 10
The following is a GGA-PBE calculation of an optimized crystal structure of PmSm2TmTe6, from Alexandria.

The structure in extended XYZ format:
```
10
Lattice="3.9045 2.2542 7.0938 -3.9045 2.2542 7.0938 0.0000 -4.5085 7.0938" Properties=species:S:1:pos:R:3 pbc="T T T"
Pm 0.0000 0.0000 0.0000
Sm 0.0000 0.0000 6.5969
Sm 0.0000 0.0000 17.2668
Tm 0.0000 0.0000 10.6036
Te -2.3927 0.0191 8.6739
Te -1.4390 -2.1777 12.1738
Te 1.1798 -2.0817 8.6739
Te -1.1665 2.3351 12.1738
Te 1.2129 2.0626 8.6739
Te 2.6055 -0.1573 12.1738
```

Properties
Space group = R3
Calculated total energy = -5.12 eV/atom
Formation energy without anion corrections = -1365 meV/atom


# 11
The following is a GGA-PBE calculation of an optimized crystal structure of TlIn4Hg7, from Alexandria.

The structure in extended XYZ format:
```
12
Lattice="3.8854 0.0000 0.0000 -1.9427 3.3649 0.0000 0.0000 0.0000 25.6252" Properties=species:S:1:pos:R:3 pbc="T T T"
Tl 0.0000 0.0000 0.0000
In 0.0000 2.2433 4.4017
In 0.0000 2.2433 10.7304
In 1.9427 1.1216 14.8948
In 1.9427 1.1216 21.2234
Hg 0.0000 0.0000 6.5145
Hg 0.0000 0.0000 12.8126
Hg 0.0000 0.0000 19.1107
Hg 0.0000 2.2433 17.0117
Hg 0.0000 2.2433 23.3218
Hg 1.9427 1.1216 2.3034
Hg 1.9427 1.1216 8.6135
```

Properties
Space group = P-3m1
E above lowest polymorph = 5.8 meV per atom
Calculated total energy = -1.27 eV/atom


# 12
The following is a GGA-PBE calculation of an optimized crystal structure of TiFePd14, from Alexandria.

The structure in extended XYZ format:
```
16
Lattice="5.5872 0.0000 0.0000 0.0000 5.5872 0.0000 0.0000 0.0000 7.7761" Properties=species:S:1:pos:R:3 pbc="T T T"
Ti 0.0000 0.0000 0.0000
Fe 2.7936 2.7936 0.0000
Pd 0.0000 0.0000 3.8880
Pd 0.0000 2.7936 0.0000
Pd 0.0000 2.7936 3.8880
Pd 1.3940 1.3940 1.8803
Pd 1.3940 1.3940 5.8958
Pd 1.3940 4.1933 1.8803
Pd 1.3940 4.1933 5.8958
Pd 2.7936 0.0000 0.0000
Pd 2.7936 0.0000 3.8880
Pd 2.7936 2.7936 3.8880
Pd 4.1933 1.3940 1.8803
Pd 4.1933 1.3940 5.8958
Pd 4.1933 4.1933 1.8803
Pd 4.1933 4.1933 5.8958
```

Properties
Space group = P4/mmm
Calculated total energy = -5.76 eV/atom


# 13
The following is a GGA-PBE calculation of an optimized crystal structure of Fe4Co, from Alexandria.

The structure in extended XYZ format:
```
5
Lattice="5.8604 -2.0105 0.0000 5.8604 2.0105 0.0000 -0.3440 0.0000 2.4579" Properties=species:S:1:pos:R:3 pbc="T T T"
Fe 1.0276 0.0000 0.9722
Fe 3.4505 0.0000 0.4828
Fe 7.9262 0.0000 1.9752
Fe 10.3491 0.0000 1.4857
Co 5.8604 0.0000 0.0000
```

Properties
Space group = C2/m
E above lowest polymorph = 13.8 meV per atom
Calculated total energy = -8.21 eV/atom


# 14
The following is a GGA-PBE calculation of an optimized crystal structure of Nb2AgF, from Alexandria.

The structure in extended XYZ format:
```
8
Lattice="-2.2659 2.2659 7.5477 2.2659 -2.2659 7.5477 2.2659 2.2659 -7.5477" Properties=species:S:1:pos:R:3 pbc="T T T"
Nb 0.5495 1.1329 1.8869
Nb -1.1329 1.7164 5.6607
Nb -0.5495 3.3988 1.8869
Nb 1.1329 2.8153 5.6607
Ag 2.2659 0.0000 3.7738
Ag 0.0000 0.0000 7.5477
F 0.0000 0.0000 0.0000
F 0.0000 2.2659 3.7738
```

Properties
Space group = I-42d
E above lowest polymorph = 144.1 meV per atom
Calculated total energy = -5.93 eV/atom
Formation energy without anion corrections = 282 meV/atom


# 15
The following is a GGA-PBE calculation of an optimized crystal structure of CaBeAs2, from Alexandria.

The structure in extended XYZ format:
```
8
Lattice="-2.5952 2.5952 6.9947 2.5952 -2.5952 6.9947 2.5952 2.5952 -6.9947" Properties=species:S:1:pos:R:3 pbc="T T T"
Ca 0.0000 0.0000 0.0000
Ca 0.0000 2.5952 3.4974
Be 2.5952 0.0000 3.4974
Be 0.0000 0.0000 6.9947
As 1.2976 -0.4243 5.2461
As 2.1709 1.2976 1.7487
As 1.2976 3.0195 -1.7487
As 0.4243 1.2976 8.7434
```

Properties
Space group = I-42d
Calculated total energy = -4.17 eV/atom


# 16
The following is a GGA-PBE calculation of an optimized crystal structure of Th6BiTe3Os2, from Alexandria.

The structure in extended XYZ format:
```
12
Lattice="9.7402 -2.1507 0.0000 9.7402 2.1507 0.0000 -2.5345 0.0000 8.8869" Properties=species:S:1:pos:R:3 pbc="T T T"
Th -0.2269 0.0000 2.3717
Th 5.1320 0.0000 3.9057
Th 4.1623 0.0000 7.6838
Th 12.7836 0.0000 1.2032
Th 11.8139 0.0000 4.9812
Th 17.1728 0.0000 6.5152
Bi 9.7402 0.0000 0.0000
Te 0.9041 0.0000 7.4632
Te 8.4730 0.0000 4.4435
Te 16.0418 0.0000 1.4237
Os 2.4618 0.0000 3.0284
Os 14.4842 0.0000 5.8585
```

Properties
Space group = C2/m
Calculated total energy = -7.53 eV/atom
Formation energy without anion corrections = -837 meV/atom


# 17
The following is a GGA-PBE calculation of an optimized crystal structure of Sc3TlCd, from Alexandria.

The structure in extended XYZ format:
```
5
Lattice="5.2767 0.0000 0.0000 0.0000 5.2767 0.0000 0.0000 0.0000 5.2767" Properties=species:S:1:pos:R:3 pbc="T T T"
Sc 0.0000 0.0000 2.6383
Sc 0.0000 2.6383 0.0000
Sc 2.6383 0.0000 0.0000
Tl 2.6383 2.6383 2.6383
Cd 0.0000 0.0000 0.0000
```

Properties
Space group = Pm-3m
E above lowest polymorph = 630.1 meV per atom
Calculated total energy = -4.05 eV/atom


# 18
The following is a GGA-PBE calculation of an optimized crystal structure of Nd2ThCo, from Alexandria.

The structure in extended XYZ format:
```
16
Lattice="7.0307 0.0000 0.0000 0.0000 9.9824 0.0000 0.0000 0.0000 6.4567" Properties=species:S:1:pos:R:3 pbc="T T T"
Nd 1.1885 0.6997 1.1357
Nd 1.1885 4.2915 1.1357
Nd 2.3269 5.6909 4.3640
Nd 2.3269 9.2827 4.3640
Nd 4.7038 0.6997 2.0927
Nd 4.7038 4.2915 2.0927
Nd 5.8423 5.6909 5.3211
Nd 5.8423 9.2827 5.3211
Th 0.3825 2.4956 4.3456
Th 3.1328 7.4868 1.1173
Th 3.8979 2.4956 5.3394
Th 6.6482 7.4868 2.1111
Co 0.9411 7.4868 6.3425
Co 2.5743 2.4956 3.1141
Co 4.4565 7.4868 3.3426
Co 6.0896 2.4956 0.1143
```

Properties
Space group = Pnma
E above lowest polymorph = 0.0 meV per atom
Calculated total energy = -6.15 eV/atom


# 19
The following is a GGA-PBE calculation of an optimized crystal structure of Cu2MoPb, from Alexandria.

The structure in extended XYZ format:
```
4
Lattice="1.4889 0.8596 9.1482 -1.4889 0.8596 9.1482 0.0000 -1.7192 9.1482" Properties=species:S:1:pos:R:3 pbc="T T T"
Cu 0.0000 0.0000 6.6448
Cu 0.0000 0.0000 20.7999
Mo 0.0000 0.0000 13.7224
Pb 0.0000 0.0000 0.0000
```

Properties
Space group = R-3m
Calculated total energy = -5.09 eV/atom


# 20
The following is a GGA-PBE calculation of an optimized crystal structure of AgCl4F, from Alexandria.

The structure in extended XYZ format:
```
12
Lattice="4.2508 0.0000 0.0000 -1.7723 9.8602 0.0000 -1.7465 -3.9575 9.0839" Properties=species:S:1:pos:R:3 pbc="T T T"
Ag 0.1812 0.6807 2.7865
Ag 0.5508 5.2219 6.2974
Cl -1.4237 8.1149 1.8488
Cl -2.3722 4.1939 9.0212
Cl -0.7796 2.3163 6.1300
Cl 0.0172 0.5550 5.3849
Cl 0.7147 5.3477 3.6991
Cl 1.5116 3.5863 2.9539
Cl 3.1041 1.7088 0.0627
Cl 2.1557 -2.2122 7.2351
F -1.5749 4.3139 6.8875
F 2.3069 1.5888 2.1964
```

Properties
Space group = P-1
E above lowest polymorph = 0.0 meV per atom
Calculated total energy = -2.32 eV/atom
Formation energy without anion corrections = -298 meV/atom


# 21
The following is a GGA-PBE calculation of an optimized crystal structure of SbSI2O, from Alexandria.

The structure in extended XYZ format:
```
5
Lattice="5.2709 0.0000 0.0000 0.0000 5.2709 0.0000 0.0000 0.0000 4.5587" Properties=species:S:1:pos:R:3 pbc="T T T"
Sb 0.0000 0.0000 0.0000
S 2.6354 2.6354 0.0000
I 0.0000 2.6354 2.2794
I 2.6354 0.0000 2.2794
O 0.0000 0.0000 2.2794
```

Properties
Space group = P4/mmm
E above lowest polymorph = 417.4 meV per atom
Calculated total energy = -2.64 eV/atom
Formation energy without anion corrections = 624 meV/atom


# 22
The following is a GGA-PBE calculation of an optimized crystal structure of Sm3Dy6Cd, from Alexandria.

The structure in extended XYZ format:
```
20
Lattice="10.8971 0.0000 0.0000 0.0000 5.0707 0.0000 -0.5196 0.0000 11.2828" Properties=species:S:1:pos:R:3 pbc="T T T"
Sm 0.3634 1.2677 4.5477
Sm 1.5952 3.8030 2.3737
Sm 2.7660 1.2677 0.1381
Sm 7.6114 3.8030 11.1447
Sm 8.7822 1.2677 8.9092
Sm 10.0140 3.8030 6.7351
Dy 0.0905 3.8030 10.1393
Dy 1.3401 1.2677 7.9478
Dy 2.7077 3.8030 5.7649
Dy 3.3467 3.8030 9.2145
Dy 3.8728 1.2677 3.6298
Dy 4.9107 3.8030 1.2190
Dy 5.4667 1.2677 10.0639
Dy 6.5046 3.8030 7.6530
Dy 7.0307 1.2677 2.0684
Dy 7.6697 1.2677 5.5180
Dy 9.0373 3.8030 3.3350
Dy 10.2869 1.2677 1.1435
Cd 4.5045 1.2677 6.9229
Cd 5.8729 3.8030 4.3600
```

Properties
Space group = P2_1/m
E above lowest polymorph = 0.0 meV per atom
Calculated total energy = -4.28 eV/atom


# 23
The following is a GGA-PBE calculation of an optimized crystal structure of Ce4Bi3Pb, from Alexandria.

The structure in extended XYZ format:
```
8
Lattice="6.4907 0.0000 0.0000 0.0000 6.4907 0.0000 0.0000 0.0000 6.4907" Properties=species:S:1:pos:R:3 pbc="T T T"
Ce 0.0000 0.0000 0.0000
Ce 0.0000 3.2454 3.2454
Ce 3.2454 0.0000 3.2454
Ce 3.2454 3.2454 0.0000
Bi 0.0000 0.0000 3.2454
Bi 0.0000 3.2454 0.0000
Bi 3.2454 0.0000 0.0000
Pb 3.2454 3.2454 3.2454
```

Properties
Space group = Pm-3m
E above lowest polymorph = 0.0 meV per atom
Calculated total energy = -5.56 eV/atom


# 24
The following is a GGA-PBE calculation of an optimized crystal structure of CeYSnHg, from Alexandria.

The structure in extended XYZ format:
```
4
Lattice="0.0000 3.7975 3.7975 3.7975 0.0000 3.7975 3.7975 3.7975 0.0000" Properties=species:S:1:pos:R:3 pbc="T T T"
Ce 0.0000 0.0000 0.0000
Y 3.7975 3.7975 3.7975
Sn 5.6963 5.6963 5.6963
Hg 1.8988 1.8988 1.8988
```

Properties
Space group = F-43m
Calculated total energy = -4.70 eV/atom